# Ho6Hg2Pd

A relaxed structure of Ho6Hg2Pd (PBE, Alexandria).

ΔH_f (0 K)   -0.237 eV per atom
Uncorrected energy   -3.9329 eV per atom
Spin magnetization   0.0 μB/f.u.
Mass density   9.36 Mg/m³

Unit cell a=5.023 b=7.111 c=8.613 alpha=114.38 beta=106.94 gamma=90.00
Positions (direct):
Ho (0.160, 0.405, 0.321)
Ho (0.840, 0.085, 0.679)
Ho (0.840, 0.595, 0.679)
Ho (0.500, 0.239, 0.000)
Ho (0.160, 0.915, 0.321)
Ho (0.500, 0.761, 0.000)
Hg (0.667, 0.667, 0.334)
Hg (0.333, 0.333, 0.666)
Pd (0.000, 0.000, 0.000)